{"formula": "TlCd11Hg17", "functional": "PBE", "state": "optimized geometry", "total_energy_ev_per_atom": -0.58, "e_form_ev_per_atom": 0.023, "crystal_system": "monoclinic", "magnetic_moment_mub_per_fu": 0.0, "sg": "No. 8", "volume_a3_per_cell": 739, "lattice_angstrom": [[5.444, -8.576, 0.000], [5.444, 8.576, 0.000], [-4.452, 0.000, 7.911]], "species": ["Tl", "Cd", "Cd", "Cd", "Cd", "Cd", "Cd", "Cd", "Cd", "Cd", "Cd", "Cd", "Hg", "Hg", "Hg", "Hg", "Hg", "Hg", "Hg", "Hg", "Hg", "Hg", "Hg", "Hg", "Hg", "Hg", "Hg", "Hg", "Hg"], "fractional_positions": [[0.000, 0.000, 0.000], [0.153, 0.973, 0.723], [0.189, 0.536, 0.932], [0.272, 0.272, 0.504], [0.344, 0.616, 0.606], [0.378, 0.729, 0.325], [0.536, 0.189, 0.932], [0.572, 0.753, 0.119], [0.616, 0.344, 0.606], [0.729, 0.378, 0.325], [0.753, 0.572, 0.119], [0.973, 0.153, 0.723], [0.011, 0.356, 0.532], [0.065, 0.655, 0.417], [0.089, 0.757, 0.120], [0.100, 0.366, 0.191], [0.352, 0.846, 0.898], [0.356, 0.011, 0.532], [0.356, 0.356, 0.912], [0.366, 0.100, 0.191], [0.458, 0.458, 0.323], [0.641, 0.946, 0.723], [0.650, 0.650, 0.816], [0.655, 0.065, 0.417], [0.757, 0.089, 0.120], [0.774, 0.774, 0.502], [0.846, 0.352, 0.898], [0.946, 0.641, 0.723], [0.961, 0.961, 0.337]]}


{"formula": "NaReP2Os", "functional": "PBE", "state": "optimized geometry", "total_energy_ev_per_atom": -7.44, "e_form_ev_per_atom": -0.277, "crystal_system": "tetragonal", "magnetic_moment_mub_per_fu": 0.0, "sg": "No. 119", "volume_a3_per_cell": 80, "lattice_angstrom": [[-2.061, 2.061, 4.706], [2.061, -2.061, 4.706], [2.061, 2.061, -4.706]], "species": ["Na", "Re", "P", "P", "Os"], "fractional_positions": [[0.000, 0.000, 0.000], [0.250, 0.750, 0.500], [0.372, 0.372, 0.000], [0.628, 0.628, 0.000], [0.750, 0.250, 0.500]]}


> Which formula does entry 1 have?

TlCd11Hg17